1.
# GGA-PBEsol LiAsW2, relaxed
# D(E_F) (states/eV per atom): 0.405
# Energy of formation from the pure elements (eV/atom): 0.15
# Size of the total moment (Bohr magnetons per cell): 0.0
data_LiAsW2
_space_group_name_H-M_alt 'P 4 m m'
_space_group_IT_number 99
_cell_length_a 3.235
_cell_length_b 3.235
_cell_length_c 5.559
_cell_angle_alpha 90.00
_cell_angle_beta 90.00
_cell_angle_gamma 90.00
loop_
_space_group_symop_operation_xyz
'x,y,z'
'-y,x,z'
'-x,-y,z'
'y,-x,z'
'-x,y,z'
'y,x,z'
'x,-y,z'
'-y,-x,z'
loop_
_atom_site_label
_atom_site_type_symbol
_atom_site_fract_x
_atom_site_fract_y
_atom_site_fract_z
Li1 Li 0.000 0.000 0.000
As1 As 0.500 0.500 0.775
W1 W 0.000 0.000 0.502
W2 W 0.500 0.500 0.261



2.
# GGA-PBEsol LiZnAs2W, relaxed
# D(E_F) (states/eV per atom): 0.788
# Energy of formation from the pure elements (eV/atom): 1.09
# Size of the total moment (Bohr magnetons per cell): 0.0
data_LiZnAs2W
_space_group_name_H-M_alt 'P 4/m m m'
_space_group_IT_number 123
_space_group_name_Hall '-P 4 2'
_cell_length_a 4.221
_cell_length_b 4.221
_cell_length_c 4.505
_cell_angle_alpha 90.00
_cell_angle_beta 90.00
_cell_angle_gamma 90.00
loop_
_atom_site_label
_atom_site_type_symbol
_atom_site_fract_x
_atom_site_fract_y
_atom_site_fract_z
Li1 Li 0.000 0.000 0.000
Zn1 Zn 0.500 0.500 0.500
As1 As 0.000 0.500 0.000
W1 W 0.000 0.000 0.500



3.
# GGA-PBEsol Li2YAs, relaxed
# D(E_F) (states/eV per atom): 0.434
# Energy of formation from the pure elements (eV/atom): -0.35
# Size of the total moment (Bohr magnetons per cell): 0.0
data_Li2YAs
_space_group_name_H-M_alt 'P 4/m m m'
_space_group_IT_number 123
_space_group_name_Hall '-P 4 2'
_cell_length_a 3.742
_cell_length_b 3.742
_cell_length_c 5.740
_cell_angle_alpha 90.00
_cell_angle_beta 90.00
_cell_angle_gamma 90.00
loop_
_atom_site_label
_atom_site_type_symbol
_atom_site_fract_x
_atom_site_fract_y
_atom_site_fract_z
Li1 Li 0.000 0.000 0.197
Y1 Y 0.500 0.500 0.500
As1 As 0.500 0.500 0.000



4.
# GGA-PBEsol Li2YAs, relaxed
# D(E_F) (states/eV per atom): 0.258
# Energy of formation from the pure elements (eV/atom): -0.67
# Size of the total moment (Bohr magnetons per cell): 0.0
data_Li2YAs
_space_group_name_H-M_alt 'P 4/m m m'
_space_group_IT_number 123
_space_group_name_Hall '-P 4 2'
_cell_length_a 4.058
_cell_length_b 4.058
_cell_length_c 4.825
_cell_angle_alpha 90.00
_cell_angle_beta 90.00
_cell_angle_gamma 90.00
loop_
_atom_site_label
_atom_site_type_symbol
_atom_site_fract_x
_atom_site_fract_y
_atom_site_fract_z
Li1 Li 0.000 0.500 0.000
Y1 Y 0.000 0.000 0.500
As1 As 0.500 0.500 0.500



5.
# GGA-PBEsol LiYAs, relaxed
# D(E_F) (states/eV per atom): 0.736
# Energy of formation from the pure elements (eV/atom): -1.01
# Size of the total moment (Bohr magnetons per cell): 0.0
data_LiYAs
_space_group_name_H-M_alt 'P -6 m 2'
_space_group_IT_number 187
_space_group_name_Hall 'P -6 2'
_cell_length_a 4.0999
_cell_length_b 4.0999
_cell_length_c 3.8915
_cell_angle_alpha 90.00
_cell_angle_beta 90.00
_cell_angle_gamma 120.00
loop_
_atom_site_label
_atom_site_type_symbol
_atom_site_fract_x
_atom_site_fract_y
_atom_site_fract_z
Li1 Li 0.0000 0.0000 0.0000
Y1 Y 0.3333 0.6667 0.5000
As1 As 0.6667 0.3333 0.0000



6.
# GGA-PBEsol Li2YAs, relaxed
# D(E_F) (states/eV per atom): 0.229
# Energy of formation from the pure elements (eV/atom): -0.51
# Size of the total moment (Bohr magnetons per cell): 0.0
data_Li2YAs
_space_group_name_H-M_alt 'I m m 2'
_space_group_IT_number 44
_cell_length_a 4.487
_cell_length_b 4.856
_cell_length_c 6.769
_cell_angle_alpha 90.00
_cell_angle_beta 90.00
_cell_angle_gamma 90.00
loop_
_space_group_symop_operation_xyz
'x,y,z'
'-x,-y,z'
'-x,y,z'
'x,-y,z'
'x+1/2,y+1/2,z+1/2'
'-x+1/2,-y+1/2,z+1/2'
'-x+1/2,y+1/2,z+1/2'
'x+1/2,-y+1/2,z+1/2'
loop_
_atom_site_label
_atom_site_type_symbol
_atom_site_fract_x
_atom_site_fract_y
_atom_site_fract_z
Li1 Li 0.000 0.000 0.000
Li2 Li 0.000 0.500 0.248
Y1 Y 0.000 0.500 0.771
As1 As 0.000 0.000 0.537